# NbWIO2 (PBE+U, optimized geometry)
data_NbWIO2
_chemical_formula_sum 'Nb1 W1 I1 O2'
_symmetry_space_group_name_H-M 'P 4/m m m'
_symmetry_Int_Tables_number 123
_symmetry_space_group_name_Hall '-P 4 2'
_cell_length_a 4.0660
_cell_length_b 4.0660
_cell_length_c 6.1160
_cell_angle_alpha 90.00
_cell_angle_beta 90.00
_cell_angle_gamma 90.00
loop_
_atom_site_label
_atom_site_type_symbol
_atom_site_fract_x
_atom_site_fract_y
_atom_site_fract_z
Nb1 Nb 0.0000 0.0000 0.0000
W1 W 0.5000 0.5000 0.5000
I1 I 0.0000 0.0000 0.5000
O1 O 0.0000 0.5000 0.0000
# Excess energy over the best structure of this formula in the dataset ... 0.0 meV/atom
# Calculated volume ... 20.22 Å³/atom